Entry 1
Compound: PmGa2Cu9
Source: Alexandria via LeMat-Bulk
Functional: PBE
Structure: optimized geometry

## Properties
Total moment ... 0.0 μB per formula unit

Unit cell a=10.173 b=10.173 c=6.635 alpha=90.00 beta=90.00 gamma=90.00
Space group I4_1/amd (No. 141, origin choice 2)
Asymmetric unit:
Pm 0.000 0.250 0.375 (multiplicity 4)
Ga 0.000 0.000 0.000 (multiplicity 8)
Cu 0.000 0.250 0.875 (multiplicity 4)
Cu 0.122 0.041 0.681 (multiplicity 32)

Entry 2
Compound: PmGa2Cu9
Source: Alexandria via LeMat-Bulk
Functional: PBE
Structure: optimized geometry

## Properties
Total moment ... 0.0 μB per formula unit

Unit cell a=4.9994 b=4.9994 c=23.9942 alpha=90.00 beta=90.00 gamma=120.00
Space group R-3m (No. 166, hexagonal axes)
Asymmetric unit:
Pm 0.0000 0.0000 0.0000 (multiplicity 3)
Ga 0.0000 0.0000 0.1424 (multiplicity 6)
Cu 0.0000 0.0000 0.3340 (multiplicity 6)
Cu 0.0000 0.0000 0.5000 (multiplicity 3)
Cu 0.0060 0.5030 0.9134 (multiplicity 18)

Stability, highest: entry 1